The following is a GGA-PBEsol calculation of ZrSn3Pb after structural relaxation, from Alexandria.

```
data_ZrSn3Pb
_chemical_formula_sum 'Zr1 Sn3 Pb1'
_cell_length_a 5.537
_cell_length_b 5.537
_cell_length_c 5.537
_cell_angle_alpha 90.00
_cell_angle_beta 90.00
_cell_angle_gamma 90.00
_space_group_name_H-M_alt 'P m -3 m'
_space_group_IT_number 221
_space_group_name_Hall '-P 4 2 3'
loop_
_atom_site_label
_atom_site_fract_x
_atom_site_fract_y
_atom_site_fract_z
_atom_site_occupancy
Zr1 0.000 0.000 0.000 1
Sn1 0.000 0.500 0.500 1
Pb1 0.500 0.500 0.500 1
```

Energy relative to the elements (eV/atom): 1.1682
Total energy (eV per cell): -20.03

=====

The following is a GGA-PBEsol calculation of Sr2Pb after structural relaxation, from Alexandria.

```
data_Sr2Pb
_chemical_formula_sum 'Sr4 Pb2'
_cell_length_a 5.6952
_cell_length_b 5.6952
_cell_length_c 7.6132
_cell_angle_alpha 90.00
_cell_angle_beta 90.00
_cell_angle_gamma 120.00
_space_group_name_H-M_alt 'P 63/m m c'
_space_group_IT_number 194
_space_group_name_Hall '-P 6c 2c'
loop_
_atom_site_label
_atom_site_fract_x
_atom_site_fract_y
_atom_site_fract_z
_atom_site_occupancy
Sr1 0.0000 0.0000 0.0000 1
Sr2 0.3333 0.6667 0.2500 1
Pb1 0.3333 0.6667 0.7500 1
```

Energy relative to the elements (eV/atom): -0.5514
Total energy (eV per cell): -18.67

=====

The following is a GGA-PBEsol calculation of Sr5Pb3 after structural relaxation, from Alexandria.

```
data_Sr5Pb3
_chemical_formula_sum 'Sr10 Pb6'
_cell_length_a 9.8861
_cell_length_b 9.8861
_cell_length_c 7.1881
_cell_angle_alpha 90.00
_cell_angle_beta 90.00
_cell_angle_gamma 120.00
_space_group_name_H-M_alt 'P 63/m c m'
_space_group_IT_number 193
_space_group_name_Hall '-P 6c 2'
loop_
_atom_site_label
_atom_site_fract_x
_atom_site_fract_y
_atom_site_fract_z
_atom_site_occupancy
Sr1 0.0000 0.2694 0.2500 1
Sr2 0.3333 0.6667 0.0000 1
Pb1 0.0000 0.3882 0.7500 1
```

Energy relative to the elements (eV/atom): -0.5261
Total energy (eV per cell): -50.81

=====

The following is a GGA-PBEsol calculation of Sr3Pb after structural relaxation, from Alexandria.

```
data_Sr3Pb
_chemical_formula_sum 'Sr9 Pb3'
_cell_length_a 4.1022
_cell_length_b 4.1022
_cell_length_c 36.1012
_cell_angle_alpha 90.00
_cell_angle_beta 90.00
_cell_angle_gamma 120.00
_space_group_name_H-M_alt 'R -3 m'
_space_group_IT_number 166
_space_group_name_Hall '-R 3 2"'
loop_
_atom_site_label
_atom_site_fract_x
_atom_site_fract_y
_atom_site_fract_z
_atom_site_occupancy
Sr1 0.0000 0.0000 0.0000 1
Sr2 0.0000 0.0000 0.2345 1
Pb1 0.0000 0.0000 0.5000 1
```

Energy relative to the elements (eV/atom): -0.1826
Total energy (eV per cell): -30.75

=====

The following is a GGA-PBEsol calculation of Sr2Pb after structural relaxation, from Alexandria.

```
data_Sr2Pb
_chemical_formula_sum 'Sr6 Pb3'
_cell_length_a 8.7808
_cell_length_b 8.7808
_cell_length_c 5.1193
_cell_angle_alpha 90.00
_cell_angle_beta 90.00
_cell_angle_gamma 120.00
_space_group_name_H-M_alt 'P -6 2 m'
_space_group_IT_number 189
_space_group_name_Hall 'P -6 -2'
loop_
_atom_site_label
_atom_site_fract_x
_atom_site_fract_y
_atom_site_fract_z
_atom_site_occupancy
Sr1 0.0000 0.4177 0.0000 1
Sr2 0.0000 0.7444 0.5000 1
Pb1 0.0000 0.0000 0.0000 1
Pb2 0.3333 0.6667 0.5000 1
```

Energy relative to the elements (eV/atom): -0.5449
Total energy (eV per cell): -27.94

=====

The following is a GGA-PBEsol calculation of SrPb2 after structural relaxation, from Alexandria.

```
data_SrPb2
_chemical_formula_sum 'Sr4 Pb8'
_cell_length_a 5.220
_cell_length_b 7.718
_cell_length_c 9.800
_cell_angle_alpha 90.00
_cell_angle_beta 90.00
_cell_angle_gamma 90.00
_space_group_name_H-M_alt 'I m m a'
_space_group_IT_number 74
_space_group_name_Hall '-I 2b 2'
loop_
_atom_site_label
_atom_site_fract_x
_atom_site_fract_y
_atom_site_fract_z
_atom_site_occupancy
Sr1 0.000 0.250 0.050 1
Pb1 0.000 0.043 0.660 1
```

Energy relative to the elements (eV/atom): -0.3982
Total energy (eV per cell): -44.13

=====

The following is a GGA-PBEsol calculation of Sr2Pb after structural relaxation, from Alexandria.

```
data_Sr2Pb
_chemical_formula_sum 'Sr8 Pb4'
_cell_length_a 8.197
_cell_length_b 5.415
_cell_length_c 10.081
_cell_angle_alpha 90.00
_cell_angle_beta 90.00
_cell_angle_gamma 90.00
_space_group_name_H-M_alt 'P n m a'
_space_group_IT_number 62
loop_
_space_group_symop_operation_xyz
'x,y,z'
'-x,-y,-z'
'-x+1/2,-y,z+1/2'
'x+1/2,y,-z+1/2'
'x+1/2,-y+1/2,-z+1/2'
'-x+1/2,y+1/2,z+1/2'
'-x,y+1/2,-z'
'x,-y+1/2,z'
loop_
_atom_site_label
_atom_site_fract_x
_atom_site_fract_y
_atom_site_fract_z
_atom_site_occupancy
Sr1 0.020 0.250 0.187 1
Sr2 0.163 0.250 0.574 1
Pb1 0.247 0.250 0.896 1
```

Energy relative to the elements (eV/atom): -0.5768
Total energy (eV per cell): -37.64

=====

The following is a GGA-PBEsol calculation of Sr3Pb after structural relaxation, from Alexandria.

```
data_Sr3Pb
_chemical_formula_sum 'Sr3 Pb1'
_cell_length_a 5.314
_cell_length_b 5.314
_cell_length_c 5.314
_cell_angle_alpha 90.00
_cell_angle_beta 90.00
_cell_angle_gamma 90.00
_space_group_name_H-M_alt 'P m -3 m'
_space_group_IT_number 221
_space_group_name_Hall '-P 4 2 3'
loop_
_atom_site_label
_atom_site_fract_x
_atom_site_fract_y
_atom_site_fract_z
_atom_site_occupancy
Sr1 0.000 0.000 0.500 1
Pb1 0.500 0.500 0.500 1
```

Energy relative to the elements (eV/atom): -0.3438
Total energy (eV per cell): -10.89

=====

The following is a GGA-PBEsol calculation of SrPb8 after structural relaxation, from Alexandria.

```
data_SrPb8
_chemical_formula_sum 'Sr2 Pb16'
_cell_length_a 10.594
_cell_length_b 10.594
_cell_length_c 4.864
_cell_angle_alpha 90.00
_cell_angle_beta 90.00
_cell_angle_gamma 90.00
_space_group_name_H-M_alt 'I 4/m m m'
_space_group_IT_number 139
_space_group_name_Hall '-I 4 2'
loop_
_atom_site_label
_atom_site_fract_x
_atom_site_fract_y
_atom_site_fract_z
_atom_site_occupancy
Sr1 0.000 0.000 0.000 1
Pb1 0.000 0.339 0.000 1
Pb2 0.175 0.175 0.500 1
```

Energy relative to the elements (eV/atom): -0.1163
Total energy (eV per cell): -69.75

=====

The following is a GGA-PBEsol calculation of Sr5Pb24 after structural relaxation, from Alexandria.

```
data_Sr5Pb24
_chemical_formula_sum 'Sr10 Pb48'
_cell_length_a 12.188
_cell_length_b 12.188
_cell_length_c 12.188
_cell_angle_alpha 90.00
_cell_angle_beta 90.00
_cell_angle_gamma 90.00
_space_group_name_H-M_alt 'I -4 3 m'
_space_group_IT_number 217
_space_group_name_Hall 'I -4 2 3'
loop_
_atom_site_label
_atom_site_fract_x
_atom_site_fract_y
_atom_site_fract_z
_atom_site_occupancy
Sr1 0.000 0.000 0.000 1
Sr2 0.190 0.190 0.810 1
Pb1 0.034 0.360 0.360 1
Pb2 0.092 0.092 0.283 1
```

Energy relative to the elements (eV/atom): -0.1860
Total energy (eV per cell): -221.13

=====

The following is a GGA-PBEsol calculation of Sr2TaPb after structural relaxation, from Alexandria.

```
data_Sr2TaPb
_chemical_formula_sum 'Sr4 Ta2 Pb2'
_cell_length_a 4.832
_cell_length_b 4.832
_cell_length_c 9.691
_cell_angle_alpha 90.00
_cell_angle_beta 90.00
_cell_angle_gamma 90.00
_space_group_name_H-M_alt 'I -4 m 2'
_space_group_IT_number 119
_space_group_name_Hall 'I -4 -2'
loop_
_atom_site_label
_atom_site_fract_x
_atom_site_fract_y
_atom_site_fract_z
_atom_site_occupancy
Sr1 0.000 0.000 0.000 1
Sr2 0.000 0.500 0.250 1
Ta1 0.000 0.000 0.500 1
Pb1 0.000 0.500 0.750 1
```

Energy relative to the elements (eV/atom): 0.6089
Total energy (eV per cell): -35.59

=====

The following is a GGA-PBEsol calculation of Sr2TaPb after structural relaxation, from Alexandria.

```
data_Sr2TaPb
_chemical_formula_sum 'Sr4 Ta2 Pb2'
_cell_length_a 5.099
_cell_length_b 3.548
_cell_length_c 13.217
_cell_angle_alpha 90.00
_cell_angle_beta 90.00
_cell_angle_gamma 90.00
_space_group_name_H-M_alt 'A m m 2'
_space_group_IT_number 38
loop_
_space_group_symop_operation_xyz
'x,y,z'
'-x,-y,z'
'-x,y,z'
'x,-y,z'
'x,y+1/2,z+1/2'
'-x,-y+1/2,z+1/2'
'-x,y+1/2,z+1/2'
'x,-y+1/2,z+1/2'
loop_
_atom_site_label
_atom_site_fract_x
_atom_site_fract_y
_atom_site_fract_z
_atom_site_occupancy
Sr1 0.000 0.000 0.000 1
Sr2 0.500 0.000 0.324 1
Ta1 0.000 0.000 0.718 1
Pb1 0.500 0.000 0.606 1
```

Energy relative to the elements (eV/atom): 0.4795
Total energy (eV per cell): -36.62